[1]
TlZn6Cd6, optimized geometry, DFT PBE-GGA; calculated total energy = -1.14 eV/atom; Fermi-level density of states = 3.5 states/eV/cell; formation energy from the elements = 0.051 eV per atom
1.0
-4.0478 3.0937 2.3791
-3.3794 -3.5406 5.4987
2.5523 4.2860 5.4136
Tl Zn Cd
1 6 6
Direct
0.0000 0.0000 0.0000
0.5000 0.0000 0.5000
0.0000 0.5000 0.0000
0.5000 0.5000 0.0000
0.5000 0.2371 0.7629
0.0000 0.0000 0.5000
0.5000 0.7629 0.2371
0.3147 0.1853 0.1853
0.0000 0.3455 0.6545
0.6572 0.3428 0.3428
0.0000 0.6545 0.3455
0.3428 0.6572 0.6572
0.6853 0.8147 0.8147

[2]
HfAlIr2, optimized geometry, DFT PBE-GGA; calculated total energy = -8.81 eV/atom; Fermi-level density of states = 1.7 states/eV/cell; formation energy from the elements = -0.954 eV per atom
1.0
3.0048 0.0000 0.0000
0.0000 3.0048 0.0000
0.0000 0.0000 6.9061
Hf Ir Al
1 2 1
Direct
0.5000 0.5000 0.5000
0.0000 0.0000 0.2254
0.0000 0.0000 0.7746
0.5000 0.5000 0.0000